Density functional theory data (PBE) for a geometry-optimized TlIn4Ru structure.

Volume, Å³ per atom: 24.457
Formation energy, meV/atom: 566
Symmetry: F-43m (216)

Structure (POSCAR):
```
TlIn4Ru
1.0
0.000 4.186 4.186
4.186 0.000 4.186
4.186 4.186 0.000
Tl In Ru
1 4 1
Direct
0.000 0.000 0.000 Tl
0.127 0.624 0.624 In
0.624 0.127 0.624 In
0.624 0.624 0.127 In
0.624 0.624 0.624 In
0.250 0.250 0.250 Ru
```